# 1
18
Lattice="7.903 0.000 0.000 0.000 7.903 0.000 0.000 0.000 14.766" Properties=species:S:1:pos:R:3 comment="KCeInI6 (PBE-GGA, optimized geometry)" total_energy_ev_per_atom=-3.188 formation_energy_uncorrected_ev_per_fu=-9.6 spacegroup="P4_2nm (102)" pbc="T T T"
K 0.000 0.000 0.000
K 3.951 3.951 7.383
Ce 0.000 0.000 9.824
Ce 3.951 3.951 2.441
In 0.000 0.000 4.905
In 3.951 3.951 12.288
I 1.439 1.439 7.544
I 1.538 1.538 11.953
I 1.799 1.799 2.509
I 2.152 5.750 9.892
I 2.414 5.489 4.570
I 2.513 5.390 0.161
I 5.390 2.513 0.161
I 5.489 2.414 4.570
I 5.750 2.152 9.892
I 6.104 6.104 2.509
I 6.365 6.365 11.953
I 6.464 6.464 7.544



# 2
10
Lattice="2.735 -6.771 0.000 2.735 6.771 0.000 0.000 0.000 5.762" Properties=species:S:1:pos:R:3 comment="CaZnGeAu2 (PBE-GGA, optimized geometry)" total_energy_ev_per_atom=-3.255 spacegroup="Cmme (67)" pbc="T T T"
Ca 2.735 3.386 4.453
Ca 2.735 -3.386 1.309
Zn 1.367 0.000 2.881
Zn 4.102 0.000 2.881
Ge 0.000 0.000 0.000
Ge 2.735 0.000 0.000
Au 2.735 4.762 1.677
Au 2.735 2.009 1.677
Au 2.735 -2.009 4.085
Au 2.735 -4.762 4.085